Record 1
# BeTlInPt2

Crystalline BeTlInPt2 at its relaxed geometry (GGA-PBE, Alexandria via LeMat-Bulk).

```
BeTlInPt2
1.0
5.153 0.000 0.000
0.000 5.153 0.000
0.000 0.000 4.419
Be Tl In Pt
1 1 1 2
Direct
0.000 0.000 0.000
0.000 0.000 0.500
0.500 0.500 0.000
0.000 0.500 0.500
0.500 0.000 0.500
```

Results
Space group: No. 123
ΔE_f (eV per atom): 0.938
Density of states at the Fermi level (states/eV per cell): 3.01
Energy (eV per atom): -3.244

Record 2
# CoAg3

Crystalline CoAg3 at its relaxed geometry (GGA-PBE, Alexandria via LeMat-Bulk).

```
CoAg3
1.0
-1.416 2.414 4.817
1.416 -2.414 4.817
1.416 2.414 -4.817
Co Ag
1 3
Direct
0.000 0.000 0.000
0.236 0.736 0.500
0.500 0.500 0.000
0.764 0.264 0.500
```

Results
Space group: No. 71
ΔE_f (eV per atom): 0.364
Density of states at the Fermi level (states/eV per cell): 4.00
Energy (eV per atom): -3.551

Record 3
# Rb2YNiBr6

Crystalline Rb2YNiBr6 at its relaxed geometry (GGA-PBE, Alexandria via LeMat-Bulk).

```
Rb2YNiBr6
1.0
-3.857 3.857 5.466
3.857 -3.857 5.466
3.857 3.857 -5.466
Rb Y Ni Br
2 1 1 6
Direct
0.250 0.750 0.500
0.750 0.250 0.500
0.000 0.000 0.000
0.500 0.500 0.000
0.256 0.256 0.000
0.257 0.257 0.514
0.257 0.743 0.000
0.743 0.257 0.000
0.743 0.743 0.486
0.744 0.744 0.000
```

Results
Space group: No. 139
Density of states at the Fermi level (states/eV per cell): 9.57
Formation energy without anion corrections (meV per atom): -1389.8
Energy (eV per atom): -3.812

Record 4
# Hf3HN3

Crystalline Hf3HN3 at its relaxed geometry (GGA-PBE, Alexandria via LeMat-Bulk).

```
Hf3HN3
1.0
6.541 0.000 0.000
-3.270 5.664 0.000
0.000 0.000 4.482
Hf H N
6 2 6
Direct
0.039 0.353 0.250
0.314 0.961 0.250
0.353 0.314 0.750
0.647 0.686 0.250
0.686 0.039 0.750
0.961 0.647 0.750
0.333 0.667 0.250
0.667 0.333 0.750
0.044 0.356 0.750
0.313 0.956 0.750
0.356 0.313 0.250
0.644 0.687 0.750
0.687 0.044 0.250
0.956 0.644 0.250
```

Results
Space group: No. 176
Density of states at the Fermi level (states/eV per cell): 2.04
Energy (eV per atom): -9.787

Record 5
# SrCoBr

Crystalline SrCoBr at its relaxed geometry (GGA-PBE, Alexandria via LeMat-Bulk).

```
SrCoBr
1.0
4.786 0.000 0.000
0.000 4.786 0.000
0.000 0.000 6.739
Sr Co Br
2 2 2
Direct
0.250 0.250 0.171
0.750 0.750 0.829
0.250 0.250 0.684
0.750 0.750 0.316
0.250 0.750 0.500
0.750 0.250 0.500
```

Results
Space group: No. 129
Density of states at the Fermi level (states/eV per cell): 12.34
Formation energy without anion corrections (meV per atom): -11.3
Energy (eV per atom): -3.498

Record 6
# AlSb

Crystalline AlSb at its relaxed geometry (GGA-PBE, Alexandria via LeMat-Bulk).

```
AlSb
1.0
4.312 0.000 0.000
2.156 3.735 0.000
0.029 0.040 7.478
Al Sb
2 2
Direct
0.167 0.169 0.382
0.833 0.831 0.618
0.166 0.162 0.765
0.834 0.838 0.235
```

Results
Space group: No. 2
Density of states at the Fermi level (states/eV per cell): 0.46
Formation energy without anion corrections (meV per atom): -38.7
Energy (eV per atom): -3.971

Record 7
# DyYSe

Crystalline DyYSe at its relaxed geometry (GGA-PBE, Alexandria via LeMat-Bulk).

```
DyYSe
1.0
3.855 0.000 0.000
-1.927 3.338 0.000
0.000 0.000 6.530
Dy Y Se
1 1 1
Direct
0.000 0.000 0.000
0.333 0.667 0.559
0.667 0.333 0.279
```

Results
Space group: No. 156
Density of states at the Fermi level (states/eV per cell): 2.01
Formation energy without anion corrections (meV per atom): -1126.8
Energy (eV per atom): -5.977

Record 8
# TbSi3Rh

Crystalline TbSi3Rh at its relaxed geometry (GGA-PBE, Alexandria via LeMat-Bulk).

```
TbSi3Rh
1.0
5.617 0.000 0.000
0.000 5.611 0.000
-1.238 0.000 5.644
Tb Si Rh
2 6 2
Direct
0.103 0.250 0.304
0.897 0.750 0.696
0.027 0.250 0.799
0.399 0.025 0.795
0.399 0.475 0.795
0.601 0.525 0.205
0.601 0.975 0.205
0.973 0.750 0.201
0.371 0.750 0.469
0.629 0.250 0.531
```

Results
Space group: No. 11
Density of states at the Fermi level (states/eV per cell): 3.10
Formation energy without anion corrections (meV per atom): -645.1
Energy (eV per atom): -6.295